1.
Density functional theory data (PBE) for crystalline Ba2TaMo at its relaxed geometry.

Calculated values
Symmetry: No. 99
Formation energy (eV/atom): 0.610
Energy relative to the lowest polymorph listed for this composition (eV/atom): 0.000

Lattice parameters (Å, degrees): 3.5906 3.5906 10.1884 90.00 90.00 90.00
Each line ends with the local moment (μB).
Atoms (fractional coordinates):
Ba1 0.0000 0.0000 0.9289  0.08
Ba2 0.5000 0.5000 0.3268  0.04
Mo1 0.0000 0.0000 0.5775  0.09
Ta1 0.5000 0.5000 0.6669  0.01

2.
Density functional theory data (PBE) for crystalline BaTaMo2 at its relaxed geometry.

Calculated values
Symmetry: No. 225
Formation energy (eV/atom): 1.158
Energy relative to the lowest polymorph listed for this composition (eV/atom): 0.512

Lattice parameters (Å, degrees): 4.8580 4.8580 4.8580 60.00 60.00 60.00
Atoms (fractional coordinates):
Mo1 0.2500 0.2500 0.2500
Mo2 0.7500 0.7500 0.7500
Ba1 0.0000 0.0000 0.0000
Ta1 0.5000 0.5000 0.5000

3.
Density functional theory data (PBE) for crystalline BaTaMo2 at its relaxed geometry.

Calculated values
Symmetry: No. 123
Formation energy (eV/atom): 0.645
Energy relative to the lowest polymorph listed for this composition (eV/atom): 0.000

Lattice parameters (Å, degrees): 3.5674 3.5674 7.6764 90.00 90.00 90.00
Atoms (fractional coordinates):
Ba1 0.5000 0.5000 0.7500
Mo1 0.0000 0.0000 0.0965
Mo2 0.0000 0.0000 0.4035
Ta1 0.5000 0.5000 0.2500

4.
Density functional theory data (PBE) for crystalline Ba2TaMo at its relaxed geometry.

Calculated values
Symmetry: No. 65
Formation energy (eV/atom): 1.442
Energy relative to the lowest polymorph listed for this composition (eV/atom): 0.832

Lattice parameters (Å, degrees): 3.0786 3.0786 11.4185 90.00 90.00 90.14
Atoms (fractional coordinates):
Ba1 0.0000 0.0000 0.0079
Ba2 0.0000 0.0000 0.4921
Mo1 0.5000 0.5000 0.2500
Ta1 0.5000 0.5000 0.7500

5.
Density functional theory data (PBE) for crystalline BaTaMo2 at its relaxed geometry.

Calculated values
Symmetry: No. 166
Formation energy (eV/atom): 0.886
Energy relative to the lowest polymorph listed for this composition (eV/atom): 0.240

Lattice parameters (Å, degrees): 10.0473 10.0473 10.0473 18.20 18.20 18.20
Atoms (fractional coordinates):
Ba1 0.7500 0.7500 0.7500
Mo1 0.9834 0.9834 0.9834
Mo2 0.5166 0.5166 0.5166
Ta1 0.2500 0.2500 0.2500

6.
Density functional theory data (PBE) for crystalline Ba2TaMo at its relaxed geometry.

Calculated values
Symmetry: No. 8
Formation energy (eV/atom): 0.757
Energy relative to the lowest polymorph listed for this composition (eV/atom): 0.146

Lattice parameters (Å, degrees): 4.6655 4.6655 9.5966 88.06 88.06 43.71
Atoms (fractional coordinates):
Ba1 0.9852 0.9852 0.0910
Ba2 0.7681 0.7681 0.6568
Mo1 0.5122 0.5122 0.4076
Ta1 0.2346 0.2346 0.3446

7.
Density functional theory data (PBE) for crystalline BaTaMo2 at its relaxed geometry.

Calculated values
Symmetry: No. 8
Formation energy (eV/atom): 0.843
Energy relative to the lowest polymorph listed for this composition (eV/atom): 0.197

Lattice parameters (Å, degrees): 5.2014 5.2014 6.3626 76.17 76.17 37.34
Atoms (fractional coordinates):
Ba1 0.2539 0.2539 0.2458
Mo1 0.0433 0.0433 0.8776
Mo2 0.7425 0.7425 0.7524
Ta1 0.4602 0.4602 0.6241

8.
Density functional theory data (PBE) for crystalline BaTaMo2 at its relaxed geometry.

Calculated values
Symmetry: No. 10
Formation energy (eV/atom): 0.682
Energy relative to the lowest polymorph listed for this composition (eV/atom): 0.037

Lattice parameters (Å, degrees): 4.3646 3.0525 7.2932 90.93 90.00 90.00
Atoms (fractional coordinates):
Ba1 0.5000 0.7500 0.7500
Mo1 0.0000 0.8587 0.0975
Mo2 0.0000 0.6413 0.4025
Ta1 0.5000 0.2500 0.2500

9.
Density functional theory data (PBE) for crystalline BaTaMo2 at its relaxed geometry.

Calculated values
Symmetry: No. 123
Formation energy (eV/atom): 1.214
Energy relative to the lowest polymorph listed for this composition (eV/atom): 0.569

Lattice parameters (Å, degrees): 3.2698 4.9275 4.9275 90.00 90.00 90.00
Atoms (fractional coordinates):
Ba1 0.5000 0.0000 0.5000
Mo1 0.0000 0.0000 0.0000
Mo2 0.0000 0.5000 0.5000
Ta1 0.5000 0.5000 0.0000

10.
Density functional theory data (PBE) for crystalline Ba2TaMo at its relaxed geometry.

Calculated values
Symmetry: No. 10
Formation energy (eV/atom): 1.420
Energy relative to the lowest polymorph listed for this composition (eV/atom): 0.810

Lattice parameters (Å, degrees): 5.6907 3.0827 6.8368 63.66 90.00 90.00
Atoms (fractional coordinates):
Ba1 0.0000 0.0025 0.0012
Ba2 0.0000 0.4975 0.4988
Mo1 0.5000 0.2500 0.2500
Ta1 0.5000 0.7500 0.7500

11.
Density functional theory data (PBE) for crystalline BaTaMo2 at its relaxed geometry.

Calculated values
Symmetry: No. 216
Formation energy (eV/atom): 1.240
Energy relative to the lowest polymorph listed for this composition (eV/atom): 0.594

Lattice parameters (Å, degrees): 4.8448 4.8448 4.8448 60.00 60.00 60.00
Atoms (fractional coordinates):
Ba1 0.5000 0.5000 0.5000
Mo1 0.0000 0.0000 0.0000
Mo2 0.2500 0.2500 0.2500
Ta1 0.7500 0.7500 0.7500

12.
Density functional theory data (PBE) for crystalline Ba2TaMo at its relaxed geometry.

Calculated values
Symmetry: No. 123
Formation energy (eV/atom): 1.394
Energy relative to the lowest polymorph listed for this composition (eV/atom): 0.784

Lattice parameters (Å, degrees): 4.3224 4.3224 5.7446 90.00 90.00 90.00
Atoms (fractional coordinates):
Ba1 0.0000 0.0000 0.0000
Ba2 0.5000 0.5000 0.0000
Mo1 0.5000 0.0000 0.5000
Ta1 0.0000 0.5000 0.5000

13.
Density functional theory data (PBE) for crystalline Ba2TaMo at its relaxed geometry.

Calculated values
Symmetry: No. 123
Formation energy (eV/atom): 1.630
Energy relative to the lowest polymorph listed for this composition (eV/atom): 1.020

Lattice parameters (Å, degrees): 4.2665 4.2665 6.6613 90.00 90.00 90.00
Each line ends with the local moment (μB).
Atoms (fractional coordinates):
Ba1 0.0000 0.0000 0.0030  -0.07
Ba2 0.0000 0.0000 0.4970  -0.07
Mo1 0.5000 0.5000 0.2500  2.29
Ta1 0.5000 0.5000 0.7500  -1.22

14.
Density functional theory data (PBE) for crystalline Ba2TaMo at its relaxed geometry.

Calculated values
Symmetry: No. 44
Formation energy (eV/atom): 0.844
Energy relative to the lowest polymorph listed for this composition (eV/atom): 0.233

Lattice parameters (Å, degrees): 6.7903 6.7903 6.7903 148.88 127.56 62.24
Atoms (fractional coordinates):
Ba1 0.0193 0.0193 0.0000
Ba2 0.7221 0.2221 0.5000
Mo1 0.4502 0.4502 0.0000
Ta1 0.3084 0.8084 0.5000

15.
Density functional theory data (PBE) for crystalline BaTa2TeMo at its relaxed geometry.

Calculated values
VASP energy (hartree per atom): -0.259
Symmetry: No. 123

Lattice parameters (Å, degrees): 4.9385 5.7996 4.9385 90.00 90.00 90.00
Atoms (fractional coordinates):
Mo1 0.0000 0.0000 0.0000
Te1 0.0000 0.5000 0.0000
Ba1 0.5000 0.5000 0.5000
Ta1 0.0000 0.0000 0.5000
Ta2 0.5000 0.0000 0.0000

16.
Density functional theory data (PBE) for crystalline BaTa2MoW at its relaxed geometry.

Calculated values
Symmetry: No. 123
Formation energy (eV/atom): 2.108

Lattice parameters (Å, degrees): 4.9479 5.6931 4.9479 90.00 90.00 90.00
Each line ends with the local moment (μB).
Atoms (fractional coordinates):
Mo1 0.5000 0.5000 0.5000  3.05
Ba1 0.0000 0.5000 0.0000  0.00
W1 0.0000 0.0000 0.0000  0.11
Ta1 0.0000 0.0000 0.5000  -0.40
Ta2 0.5000 0.0000 0.0000  -0.67

17.
Density functional theory data (PBE) for crystalline BaZrTaMo2 at its relaxed geometry.

Calculated values
Symmetry: No. 123
Formation energy (eV/atom): 1.704

Lattice parameters (Å, degrees): 5.0258 5.1821 5.0258 90.00 90.00 90.00
Atoms (fractional coordinates):
Mo1 0.0000 0.0000 0.5000
Mo2 0.5000 0.0000 0.0000
Ba1 0.5000 0.5000 0.5000
Zr1 0.0000 0.0000 0.0000
Ta1 0.0000 0.5000 0.0000

18.
Density functional theory data (PBE) for crystalline BaTcMo3 at its relaxed geometry.

Calculated values
Symmetry: No. 221
Formation energy (eV/atom): 1.333
Energy relative to the lowest polymorph listed for this composition (eV/atom): 0.000

Lattice parameters (Å, degrees): 4.9118 4.9118 4.9118 90.00 90.00 90.00
Each line ends with the local moment (μB).
Atoms (fractional coordinates):
Mo1 0.0000 0.5000 0.0000  1.03
Mo2 0.0000 0.0000 0.5000  0.98
Mo3 0.5000 0.0000 0.0000  0.99
Ba1 0.5000 0.5000 0.5000  0.12
Tc1 0.0000 0.0000 0.0000  -0.22

19.
Density functional theory data (PBE) for crystalline Ba2TcMo at its relaxed geometry.

Calculated values
Symmetry: No. 160
Formation energy (eV/atom): 0.433
Energy relative to the lowest polymorph listed for this composition (eV/atom): 0.000

Lattice parameters (Å, degrees): 9.7410 9.7410 9.7410 25.10 25.10 25.10
Atoms (fractional coordinates):
Ba1 0.0351 0.0351 0.0351
Ba2 0.2152 0.2152 0.2152
Mo1 0.4606 0.4606 0.4606
Tc1 0.7890 0.7890 0.7890

20.
Density functional theory data (PBE) for crystalline Ba2TcMo at its relaxed geometry.

Calculated values
Symmetry: No. 166
Formation energy (eV/atom): 1.589
Energy relative to the lowest polymorph listed for this composition (eV/atom): 1.156

Lattice parameters (Å, degrees): 10.5633 10.5633 10.5633 19.10 19.10 19.10
Each line ends with the local moment (μB).
Atoms (fractional coordinates):
Ba1 0.0016 0.0016 0.0016  -0.06
Ba2 0.4984 0.4984 0.4984  -0.06
Mo1 0.2500 0.2500 0.2500  1.99
Tc1 0.7500 0.7500 0.7500  1.98

21.
Density functional theory data (PBE) for crystalline BaTc3Mo at its relaxed geometry.

Calculated values
Symmetry: No. 221
Formation energy (eV/atom): 3.323
Energy relative to the lowest polymorph listed for this composition (eV/atom): 2.058

Lattice parameters (Å, degrees): 4.8296 4.8296 4.8296 90.00 90.00 90.00
Atoms (fractional coordinates):
Mo1 0.5000 0.5000 0.5000
Ba1 0.0000 0.0000 0.0000
Tc1 0.0000 0.5000 0.0000
Tc2 0.0000 0.0000 0.5000
Tc3 0.5000 0.0000 0.0000

22.
Density functional theory data (PBE) for crystalline Ba2Tc2Mo at its relaxed geometry.

Calculated values
Symmetry: No. 127
Formation energy (eV/atom): 0.725
Energy relative to the lowest polymorph listed for this composition (eV/atom): 0.000

Lattice parameters (Å, degrees): 6.5224 6.5224 5.8034 90.00 90.00 90.00
Atoms (fractional coordinates):
Mo1 0.0000 0.0000 0.0000
Mo2 0.5000 0.5000 0.0000
Ba1 0.1810 0.6810 0.5000
Ba2 0.6810 0.8190 0.5000
Ba3 0.8190 0.3190 0.5000
Ba4 0.3190 0.1810 0.5000
Tc1 0.3682 0.8682 0.0000
Tc2 0.8682 0.6318 0.0000
Tc3 0.6318 0.1318 0.0000
Tc4 0.1318 0.3682 0.0000

23.
Density functional theory data (PBE) for crystalline Ba2TcMo at its relaxed geometry.

Calculated values
Symmetry: No. 225
Formation energy (eV/atom): 1.541
Energy relative to the lowest polymorph listed for this composition (eV/atom): 1.108

Lattice parameters (Å, degrees): 5.4862 5.4862 5.4862 60.00 60.00 60.00
Each line ends with the local moment (μB).
Atoms (fractional coordinates):
Mo1 0.0000 0.0000 0.0000  2.57
Ba1 0.2500 0.2500 0.2500  0.01
Ba2 0.7500 0.7500 0.7500  0.01
Tc1 0.5000 0.5000 0.5000  1.65

24.
Density functional theory data (PBE) for crystalline BaTcMo3 at its relaxed geometry.

Calculated values
Symmetry: No. 221
Formation energy (eV/atom): 3.446
Energy relative to the lowest polymorph listed for this composition (eV/atom): 2.113

Lattice parameters (Å, degrees): 4.8542 4.8542 4.8542 90.00 90.00 90.00
Atoms (fractional coordinates):
Mo1 0.0000 0.5000 0.0000
Mo2 0.0000 0.0000 0.5000
Mo3 0.5000 0.0000 0.0000
Ba1 0.0000 0.0000 0.0000
Tc1 0.5000 0.5000 0.5000

25.
Density functional theory data (PBE) for crystalline Ba2TcMo at its relaxed geometry.

Calculated values
Symmetry: No. 123
Formation energy (eV/atom): 1.471
Energy relative to the lowest polymorph listed for this composition (eV/atom): 1.039

Lattice parameters (Å, degrees): 4.2942 4.2947 5.5501 90.00 90.00 90.00
Each line ends with the local moment (μB).
Atoms (fractional coordinates):
Ba1 0.0000 0.0000 0.0000  0.00
Ba2 0.5000 0.5000 0.0000  0.00
Mo1 0.5000 0.0000 0.5000  0.06
Tc1 0.0000 0.5000 0.5000  -0.04

26.
Density functional theory data (PBE) for crystalline Ba2TcMo at its relaxed geometry.

Calculated values
Symmetry: No. 47
Formation energy (eV/atom): 1.513
Energy relative to the lowest polymorph listed for this composition (eV/atom): 1.080

Lattice parameters (Å, degrees): 3.6239 4.4980 7.2947 90.00 90.00 90.00
Each line ends with the local moment (μB).
Atoms (fractional coordinates):
Ba1 0.0000 0.0000 0.9945  -0.01
Ba2 0.0000 0.0000 0.5055  -0.01
Mo1 0.5000 0.5000 0.2500  2.63
Tc1 0.5000 0.5000 0.7500  2.11

27.
Density functional theory data (PBE) for crystalline Ba2TcMo at its relaxed geometry.

Calculated values
Symmetry: No. 47
Formation energy (eV/atom): 1.482
Energy relative to the lowest polymorph listed for this composition (eV/atom): 1.049

Lattice parameters (Å, degrees): 5.5632 3.0422 6.7775 63.36 90.00 90.00
Atoms (fractional coordinates):
Ba1 0.0000 0.0011 0.9990
Ba2 0.0000 0.4989 0.5010
Mo1 0.5000 0.2500 0.2500
Tc1 0.5000 0.7500 0.7500

28.
Density functional theory data (PBE) for crystalline BaTcMo at its relaxed geometry.

Calculated values
Symmetry: No. 216
Formation energy (eV/atom): 2.476
Energy relative to the lowest polymorph listed for this composition (eV/atom): 1.812

Lattice parameters (Å, degrees): 4.7419 4.7419 4.7419 60.00 60.00 60.00
Each line ends with the local moment (μB).
Atoms (fractional coordinates):
Ba1 0.7500 0.7500 0.7500  0.06
Mo1 0.0000 0.0000 0.0000  2.07
Tc1 0.5000 0.5000 0.5000  -1.76

29.
Density functional theory data (PBE) for crystalline BaTc2Mo2 at its relaxed geometry.

Calculated values
Symmetry: No. 139
Formation energy (eV/atom): 0.506

Lattice parameters (Å, degrees): 6.2505 6.2505 6.2505 138.30 138.30 60.44
Atoms (fractional coordinates):
Ba1 0.0000 0.0000 0.0000
Tc1 0.2500 0.7500 0.5000
Tc2 0.7500 0.2500 0.5000
Mo1 0.6341 0.6341 0.0000
Mo2 0.3659 0.3659 0.0000

30.
Density functional theory data (PBE) for crystalline Ba2TcMo at its relaxed geometry.

Calculated values
Symmetry: No. 71
Formation energy (eV/atom): 0.654
Energy relative to the lowest polymorph listed for this composition (eV/atom): 0.221

Lattice parameters (Å, degrees): 10.0063 10.0063 10.0063 159.44 158.43 29.97
Each line ends with the local moment (μB).
Atoms (fractional coordinates):
Ba1 0.1051 0.1051 0.0000  0.06
Ba2 0.3949 0.3949 0.0000  0.06
Mo1 0.7500 0.2500 0.5000  -0.01
Tc1 0.2500 0.7500 0.5000  0.02

| no. | D(E_F) (states/eV/cell) | total moment (μB per cell) | theoretical density (g/cm3) |
| --- | --- | --- | --- |
| 1 | 6.06 | 0.62 | 6.97 |
| 2 | 4.28 | 0.00 | 10.45 |
| 3 | 5.17 | 0.00 | 8.67 |
| 4 | 5.23 | 0.00 | 8.46 |
| 5 | 4.34 | 0.00 | 9.81 |
| 6 | 3.62 | 0.00 | 6.35 |
| 7 | 4.31 | 0.00 | 8.39 |
| 8 | 3.25 | 0.00 | 8.72 |
| 9 | 5.17 | 0.00 | 10.67 |
| 10 | 5.38 | 0.00 | 8.52 |
| 11 | 5.22 | 0.00 | 10.53 |
| 12 | 4.17 | 0.00 | 8.53 |
| 13 | 5.14 | 0.63 | 7.55 |
| 14 | 3.65 | 0.00 | 7.21 |
| 15 | 6.39 | 0.00 | 8.48 |
| 16 | 6.18 | 2.06 | 9.28 |
| 17 | 7.33 | 0.00 | 7.63 |
| 18 | 4.32 | 3.47 | 7.33 |
| 19 | 5.24 | 0.00 | 5.32 |
| 20 | 3.49 | 4.33 | 7.05 |
| 21 | 7.49 | 0.00 | 7.77 |
| 22 | 6.17 | 0.00 | 7.62 |
| 23 | 5.64 | 4.90 | 6.66 |
| 24 | 11.07 | 0.00 | 7.60 |
| 25 | 3.79 | 0.02 | 7.60 |
| 26 | 4.55 | 5.49 | 6.54 |
| 27 | 3.72 | 0.00 | 7.59 |
| 28 | 3.86 | 0.48 | 7.30 |
| 29 | 5.54 | 0.00 | 8.16 |
| 30 | 4.29 | 0.51 | 6.02 |